A geometry-optimized Sc2NbCrO structure. Source: the Alexandria database, functional GGA+U.

The space group is P4/mmm (No. 123) and the conventional cell measures 5.032, 5.032 and 4.502 Å, with angles of 90.00, 90.00 and 90.00 degrees. The asymmetric unit holds Sc at (0.000, 0.500, 0.000), Nb at (0.000, 0.000, 0.500), Cr at (0.000, 0.000, 0.000) and O at (0.500, 0.500, 0.500).

Its total energy is -0.217 hartree per atom. Its density of states at the Fermi level is 3.29 states/eV/f.u.